Entry 1:
! NaB3P3 | the Alexandria database | PBE | relaxed; values from VASP
&SYSTEM
  ibrav = 0, nat = 14, ntyp = 3
/
ATOMIC_SPECIES
B 10.81 B.upf
Na 22.99 Na.upf
P 30.97 P.upf
CELL_PARAMETERS angstrom
5.603 0.000 0.000
2.801 4.852 0.000
2.801 1.617 8.337
ATOMIC_POSITIONS crystal
B 0.241 0.907 0.280
Na 0.667 0.667 0.000
P 0.429 0.097 0.710
P 0.097 0.764 0.710
P 0.764 0.429 0.710
Na 0.333 0.333 0.000
P 0.571 0.903 0.290
B 0.093 0.428 0.720
P 0.903 0.236 0.290
P 0.236 0.571 0.290
B 0.759 0.093 0.720
B 0.907 0.572 0.280
B 0.428 0.759 0.720
B 0.572 0.241 0.280
! DOS at the Fermi energy (states/eV/f.u.): 1.54
! DFT formation energy (eV/atom): -0.09


Entry 2:
! CaNd3Se4 | the Alexandria database | PBE | relaxed; values from VASP
&SYSTEM
  ibrav = 0, nat = 8, ntyp = 3
/
ATOMIC_SPECIES
Nd 144.24 Nd.upf
Se 78.96 Se.upf
Ca 40.08 Ca.upf
CELL_PARAMETERS angstrom
-0.622 -2.323 3.439
1.708 -6.044 -3.773
6.097 2.769 2.974
ATOMIC_POSITIONS crystal
Nd 0.000 0.000 0.500
Nd 0.000 0.500 0.000
Se 0.500 0.246 0.754
Se 0.500 0.754 0.246
Se 0.000 0.245 0.245
Nd 0.500 0.500 0.500
Se 0.000 0.755 0.755
Ca 0.500 0.000 0.000
! ΔE to the lowest computed polymorph (eV per atom): 0.000
! DOS at the Fermi energy (states/eV/f.u.): 3.17
! ΔE_f (raw) (eV per atom): -1.870


Entry 3:
! Sm2HoRu | the Alexandria database | PBE | relaxed; values from VASP
&SYSTEM
  ibrav = 0, nat = 4, ntyp = 3
/
ATOMIC_SPECIES
Ho 164.93 Ho.upf
Sm 150.36 Sm.upf
Ru 101.07 Ru.upf
CELL_PARAMETERS angstrom
-1.279 0.764 -3.146
-2.953 -1.662 0.797
-3.463 7.725 3.283
ATOMIC_POSITIONS crystal
Ho 0.500 0.500 0.500
Sm 0.000 0.000 0.813
Ru 0.500 0.500 0.000
Sm 0.000 0.000 0.187
! ΔE to the lowest computed polymorph (eV per atom): 0.183
! DOS at the Fermi energy (states/eV/f.u.): 4.92
! DFT formation energy (eV/atom): -0.08


Entry 4:
! AlIn2GeW | the Alexandria database | PBE | relaxed; values from VASP
&SYSTEM
  ibrav = 0, nat = 5, ntyp = 4
/
ATOMIC_SPECIES
W 183.84 W.upf
Al 26.98 Al.upf
In 114.82 In.upf
Ge 72.64 Ge.upf
CELL_PARAMETERS angstrom
5.123 0.000 0.000
0.000 4.811 0.000
0.000 0.000 5.123
ATOMIC_POSITIONS crystal
W 0.000 0.500 0.000
Al 0.000 0.000 0.000
In 0.500 0.000 0.000
Ge 0.500 0.500 0.500
In 0.000 0.000 0.500
! ΔE to the lowest computed polymorph (eV per atom): 0.000
! DOS at the Fermi energy (states/eV/f.u.): 4.24
! DFT formation energy (eV/atom): 1.28